## Y2TlCr (GGA-PBE)

Data for an optimized crystal structure of Y2TlCr.

Lattice parameters (Å, degrees): 3.6841 3.7102 8.3011 63.52 90.00 90.00
With the nearest neighbours (Å) after each atom.
Positions (direct):
1 Cr 0.5000 0.2500 0.2500  8 Y 3.13
2 Tl 0.5000 0.7500 0.7500  8 Y 3.29
3 Y 0.0000 0.9822 0.0181  4 Cr 3.13, 4 Tl 3.29, 1 Y 3.45
4 Y 0.0000 0.5178 0.4819  4 Cr 3.13, 4 Tl 3.29, 1 Y 3.45

Computed properties:
Energy relative to the lowest polymorph listed for this composition: 0 meV per atom
Energy of formation from the pure elements: 0 meV per atom

---

## TbHo12Tm3 (GGA-PBE)

Data for an optimized crystal structure of TbHo12Tm3.

Lattice parameters (Å, degrees): 4.9674 4.9674 19.8557 90.00 90.00 90.00
With the nearest neighbours (Å) after each atom.
Positions (direct):
1 Tb 0.0000 0.0000 0.0000  12 Ho 3.51-3.52
2 Ho 0.5000 0.5000 0.0000  4 Tb 3.51, 8 Ho 3.52
3 Ho 0.5000 0.5000 0.2508  8 Ho 3.50-3.51, 4 Tm 3.51
4 Ho 0.5000 0.5000 0.5000  8 Ho 3.51, 4 Tm 3.51
5 Ho 0.5000 0.5000 0.7492  8 Ho 3.50-3.51, 4 Tm 3.51
6 Ho 0.5000 0.0000 0.1259  2 Tm 3.51, 8 Ho 3.51-3.52, 2 Tb 3.52
7 Ho 0.5000 0.0000 0.3753  8 Ho 3.50-3.51, 4 Tm 3.51
8 Ho 0.5000 0.0000 0.6247  8 Ho 3.50-3.51, 4 Tm 3.51
9 Ho 0.5000 0.0000 0.8741  2 Tm 3.51, 8 Ho 3.51-3.52, 2 Tb 3.52
10 Ho 0.0000 0.5000 0.1259  2 Tm 3.51, 8 Ho 3.51-3.52, 2 Tb 3.52
11 Ho 0.0000 0.5000 0.3753  8 Ho 3.50-3.51, 4 Tm 3.51
12 Ho 0.0000 0.5000 0.6247  8 Ho 3.50-3.51, 4 Tm 3.51
13 Ho 0.0000 0.5000 0.8741  2 Tm 3.51, 8 Ho 3.51-3.52, 2 Tb 3.52
14 Tm 0.0000 0.0000 0.2506  12 Ho 3.51
15 Tm 0.0000 0.0000 0.5000  12 Ho 3.51
16 Tm 0.0000 0.0000 0.7494  12 Ho 3.51

Computed properties:
Energy of formation from the pure elements: 21 meV per atom

---

## RbHoPb2F8 (GGA-PBE)

Data for an optimized crystal structure of RbHoPb2F8.

Lattice parameters (Å, degrees): 4.1289 6.0672 8.3374 90.00 90.00 90.09
With the nearest neighbours (Å) after each atom.
Positions (direct):
1 Rb 0.0000 0.0000 0.5000  8 F 2.70-2.86
2 Ho 0.0000 0.0000 0.0000  8 F 2.26-2.40
3 Pb 0.5000 0.5000 0.7469  6 F 2.43-2.62
4 Pb 0.5000 0.5000 0.2531  6 F 2.43-2.62
5 F 0.0002 0.7582 0.2061  1 Ho 2.26
6 F 0.5003 0.7981 0.0000  2 Ho 2.40, 1 F 2.45
7 F 0.9997 0.2418 0.2061  1 Ho 2.26
8 F 0.9998 0.2418 0.7939  1 Ho 2.26
9 F 0.4997 0.2019 0.0000  2 Ho 2.40, 1 F 2.45
10 F 0.0003 0.7582 0.7939  1 Ho 2.26
11 F 0.4990 0.7133 0.5000  2 Pb 2.43, 1 F 2.59, 2 Rb 2.70
12 F 0.5010 0.2867 0.5000  2 Pb 2.43, 1 F 2.59, 2 Rb 2.70

Computed properties:
Formation energy without anion corrections: -3030 meV per atom

---

| no. | mass density (Mg/m³) | D(E_F) (states/eV/cell) |
| --- | --- | --- |
| 1 | 7.099 | 3.65 |
| 2 | 8.964 | 20.64 |
| 3 | 6.494 | 0.00 |